A plane-wave DFT calculation with PBE-GGA was carried out for BC after structural relaxation.

Properties
DFT formation energy: 0.348 eV/atom
total DFT energy (no corrections): -91.2 eV per cell
total magnetic moment: 0.000 μB/atom

Lattice parameters (Å, degrees): 2.598 4.108 7.702 90.00 90.00 90.00
Positions (direct):
B  0.000  0.960  0.685
B  0.500  0.504  0.833
B  0.000  0.299  0.475
B  0.000  0.982  0.333
B  0.000  0.299  0.192
B  0.000  0.960  0.982
C  0.500  0.731  0.008
C  0.500  0.533  0.167
C  0.000  0.231  0.833
C  0.500  0.734  0.333
C  0.500  0.533  0.500
C  0.500  0.731  0.659

A plane-wave DFT calculation with PBE-GGA was carried out for B3C2 after structural relaxation.

Properties
DFT formation energy: 0.376 eV/atom
total DFT energy (no corrections): -73.2 eV per cell
total magnetic moment: 0.000 μB/atom

Lattice parameters (Å, degrees): 9.861 9.861 9.861 164.09 164.09 22.58
Positions (direct):
C  0.000  0.000  0.000
C  0.850  0.350  0.500
C  0.650  0.150  0.500
C  0.250  0.750  0.500
B  0.385  0.385  0.000
B  0.461  0.961  0.500
B  0.797  0.797  0.000
B  0.203  0.203  0.000
B  0.039  0.539  0.500
B  0.615  0.615  0.000

A plane-wave DFT calculation with PBE-GGA was carried out for B7C5 after structural relaxation.

Properties
DFT formation energy: 0.447 eV/atom
total DFT energy (no corrections): -87.5 eV per cell
total magnetic moment: 0.000 μB/atom

Lattice parameters (Å, degrees): 6.914 7.258 7.258 158.74 140.37 45.67
Positions (direct):
B  0.194  0.159  0.035
B  0.011  0.335  0.676
B  0.213  0.803  0.411
B  0.602  0.288  0.313
B  0.531  0.956  0.574
B  0.939  0.945  0.994
B  0.976  0.665  0.311
C  0.617  0.625  0.992
C  0.466  0.504  0.962
C  0.577  0.848  0.729
C  0.515  0.162  0.353
C  0.109  0.460  0.650

> DFT formation energy of number 2 (B3C2)?

0.376 eV/atom